{"formula": "PrAg3Se3", "functional": "PBE", "state": "relaxed", "magmom_total_mub_per_cell": 0.000, "density_g_cm3": 6.597, "vol_a3_per_atom": 25.22, "space_group": "R-3", "formation_energy_uncorrected_kj_per_mol_atoms": -69.86, "lattice_angstrom": [[-6.571, -0.666, -3.788], [-6.307, -2.172, 3.671], [-5.788, 5.781, 1.372]], "species": ["Se", "Se", "Ag", "Se", "Ag", "Ag", "Se", "Ag", "Pr", "Ag", "Se", "Ag", "Se", "Pr"], "frac_coords": [[0.595, 0.925, 0.228], [0.405, 0.075, 0.772], [0.122, 0.475, 0.625], [0.747, 0.405, 0.772], [0.525, 0.222, 0.375], [0.222, 0.878, 0.375], [0.925, 0.253, 0.228], [0.475, 0.778, 0.625], [0.333, 0.333, 0.000], [0.878, 0.525, 0.375], [0.075, 0.747, 0.772], [0.778, 0.122, 0.625], [0.253, 0.595, 0.228], [0.667, 0.667, 0.000]]}